# 1
# LiErZrNi

A geometry-optimized LiErZrNi structure (PBE, Alexandria).

Lattice parameters (Å, degrees): 6.706 6.706 6.706 90.00 90.00 90.00
Space group F-43m (No. 216)
One atom of each set of equivalent atoms:
Li1 0.000 0.000 0.000 [4 per cell]
Er1 0.250 0.250 0.250 [4 per cell]
Zr1 0.250 0.250 0.750 [4 per cell]
Ni1 0.000 0.000 0.500 [4 per cell]

- Formation enthalpy at 0 K: -38 meV/atom

# 2
# LiEr2NpO6

A geometry-optimized LiEr2NpO6 structure (PBE, Alexandria).

Lattice parameters (Å, degrees): 5.7077 5.7077 15.0447 90.00 90.00 120.00
Space group R3 (No. 146, hexagonal axes)
One atom of each set of equivalent atoms:
Li1 0.0000 0.0000 0.0000 [3 per cell]
Er1 0.0000 0.0000 0.2688 [3 per cell]
Er2 0.0000 0.0000 0.7764 [3 per cell]
Np1 0.0000 0.0000 0.4783 [3 per cell]
O1 0.0036 0.7177 0.3836 [9 per cell]
O2 0.0292 0.3506 0.5420 [9 per cell]

- Energy relative to the elements, uncorrected: -3.0741 eV/atom

# 3
# Li2ErNpO6

A geometry-optimized Li2ErNpO6 structure (PBE, Alexandria).

Lattice parameters (Å, degrees): 5.3633 5.3633 15.3291 90.00 90.00 120.00
Space group R-3 (No. 148, hexagonal axes)
One atom of each set of equivalent atoms:
Li1 0.0000 0.0000 0.2035 [6 per cell]
Er1 0.0000 0.0000 0.0000 [3 per cell]
Np1 0.0000 0.0000 0.5000 [3 per cell]
O1 0.0059 0.3654 0.2397 [18 per cell]

- Energy relative to the elements, uncorrected: -2.7128 eV/atom

# 4
# LiErNpO6

A geometry-optimized LiErNpO6 structure (PBE, Alexandria).

Lattice parameters (Å, degrees): 5.010 5.010 9.866 90.00 90.00 90.00
Space group P4_2nm (No. 102)
One atom of each set of equivalent atoms:
Li1 0.000 0.000 0.000 [2 per cell]
Er1 0.000 0.000 0.667 [2 per cell]
Np1 0.000 0.000 0.327 [2 per cell]
O1 0.185 0.185 0.479 [4 per cell]
O2 0.186 0.186 0.175 [4 per cell]
O3 0.216 0.216 0.829 [4 per cell]

- Energy relative to the elements, uncorrected: -2.5071 eV/atom

# 5
# LiErNpOs

A geometry-optimized LiErNpOs structure (PBE, Alexandria).

Lattice parameters (Å, degrees): 6.855 6.855 6.855 90.00 90.00 90.00
Space group F-43m (No. 216)
One atom of each set of equivalent atoms:
Li1 0.000 0.000 0.000 [4 per cell]
Er1 0.250 0.250 0.750 [4 per cell]
Np1 0.250 0.250 0.250 [4 per cell]
Os1 0.000 0.000 0.500 [4 per cell]

- Formation enthalpy at 0 K: 85 meV/atom

# 6
# LiErNp2S4

A geometry-optimized LiErNp2S4 structure (PBE, Alexandria).

Lattice parameters (Å, degrees): 6.707 3.888 6.711 90.00 109.63 90.00
Space group P2/m (No. 10)
One atom of each set of equivalent atoms:
Li1 0.000 0.000 0.000 [1 per cell]
Er1 0.500 0.500 0.000 [1 per cell]
Np1 0.000 0.500 0.500 [1 per cell]
Np2 0.500 0.000 0.500 [1 per cell]
S1 0.245 0.500 0.241 [2 per cell]
S2 0.248 0.000 0.757 [2 per cell]

- Energy relative to the elements, uncorrected: -1.5377 eV/atom

# 7
# Li2Er2NpS6

A geometry-optimized Li2Er2NpS6 structure (PBE, Alexandria).

Lattice parameters (Å, degrees): 6.798 11.764 6.539 90.00 109.86 90.00
Space group C2/m (No. 12)
One atom of each set of equivalent atoms:
Li1 0.000 0.169 0.000 [4 per cell]
Er1 0.000 0.335 0.500 [4 per cell]
Np1 0.000 0.000 0.500 [2 per cell]
S1 0.241 0.168 0.742 [8 per cell]
S2 0.245 0.000 0.257 [4 per cell]

- Energy relative to the elements, uncorrected: -1.6618 eV/atom

# 8
# LiEr2NpS5

A geometry-optimized LiEr2NpS5 structure (PBE, Alexandria).

Lattice parameters (Å, degrees): 3.866 16.095 11.757 90.00 90.00 90.00
Space group Cmc2_1 (No. 36)
One atom of each set of equivalent atoms:
Li1 0.000 0.015 0.000 [4 per cell]
Er1 0.000 0.375 0.815 [4 per cell]
Er2 0.000 0.391 0.208 [4 per cell]
Np1 0.000 0.302 0.525 [4 per cell]
S1 0.000 0.001 0.305 [4 per cell]
S2 0.000 0.134 0.526 [4 per cell]
S3 0.000 0.191 0.861 [4 per cell]
S4 0.000 0.212 0.188 [4 per cell]
S5 0.000 0.454 0.597 [4 per cell]

- Energy relative to the elements, uncorrected: -1.6253 eV/atom

# 9
# LiEr2NpS4

A geometry-optimized LiEr2NpS4 structure (PBE, Alexandria).

Lattice parameters (Å, degrees): 6.705 3.866 6.711 90.00 109.71 90.00
Space group P2/m (No. 10)
One atom of each set of equivalent atoms:
Li1 0.000 0.000 0.000 [1 per cell]
Er1 0.000 0.500 0.500 [1 per cell]
Er2 0.500 0.000 0.500 [1 per cell]
Np1 0.500 0.500 0.000 [1 per cell]
S1 0.244 0.500 0.250 [2 per cell]
S2 0.245 0.000 0.749 [2 per cell]

- Energy relative to the elements, uncorrected: -1.7314 eV/atom

# 10
# Li2ErNpS4

A geometry-optimized Li2ErNpS4 structure (PBE, Alexandria).

Lattice parameters (Å, degrees): 6.574 3.907 6.779 90.00 110.34 90.00
Space group P2/m (No. 10)
One atom of each set of equivalent atoms:
Li1 0.000 0.000 0.000 [1 per cell]
Li2 0.000 0.500 0.500 [1 per cell]
Er1 0.500 0.000 0.500 [1 per cell]
Np1 0.500 0.500 0.000 [1 per cell]
S1 0.249 0.000 0.746 [2 per cell]
S2 0.249 0.500 0.253 [2 per cell]

- Energy relative to the elements, uncorrected: -1.5895 eV/atom

# 11
# Li4ErNp3S8

A geometry-optimized Li4ErNp3S8 structure (PBE, Alexandria).

Lattice parameters (Å, degrees): 7.8363 7.8363 18.4572 90.00 90.00 120.00
Space group R-3m (No. 166, hexagonal axes)
One atom of each set of equivalent atoms:
Li1 0.0000 0.0000 0.0000 [3 per cell]
Li2 0.0000 0.5000 0.0000 [9 per cell]
Er1 0.0000 0.0000 0.5000 [3 per cell]
Np1 0.0000 0.5000 0.5000 [9 per cell]
S1 0.0000 0.0000 0.2501 [6 per cell]
S2 0.0032 0.5016 0.2507 [18 per cell]

- Energy relative to the elements, uncorrected: -1.4754 eV/atom

# 12
# LiErNpS4

A geometry-optimized LiErNpS4 structure (PBE, Alexandria).

Lattice parameters (Å, degrees): 7.825 8.002 11.102 90.00 90.00 90.00
Space group Imma (No. 74)
One atom of each set of equivalent atoms:
Li1 0.000 0.250 0.133 [4 per cell]
Er1 0.250 0.250 0.750 [4 per cell]
Np1 0.000 0.000 0.500 [4 per cell]
S1 0.000 0.015 0.741 [8 per cell]
S2 0.232 0.250 0.505 [8 per cell]

- Energy relative to the elements, uncorrected: -1.5781 eV/atom

Number 1: volume 302 Å³ per cell. Number 2: volume 424 Å³ per cell. Number 3: volume 382 Å³ per cell. Number 4: volume 248 Å³ per cell. Number 5: volume 322 Å³ per cell. Number 6: volume 165 Å³ per cell. Number 7: volume 492 Å³ per cell. Number 8: volume 732 Å³ per cell. Number 9: volume 164 Å³ per cell. Number 10: volume 163 Å³ per cell. Number 11: volume 981 Å³ per cell. Number 12: volume 695 Å³ per cell.